# 1
Re4Ru | PBE-GGA | optimized geometry

* ΔE_f: 0.143 eV/atom

abc: 4.4182 4.7581 7.5024
angles: 89.80 73.02 88.93
Last column: nearest neighbours and their distance in Å.
Space group P-1 (No. 2)
Unique sites:
Re1 0.0359 0.2433 0.4090 (multiplicity 2)  7 Re 2.59-2.77
Re2 0.1635 0.6709 0.1875 (multiplicity 2)  6 Re 2.59-2.86, 4 Ru 2.71-2.72
Re3 0.3501 0.6871 0.8084 (multiplicity 2)  4 Ru 2.67-2.85, 7 Re 2.69-2.86
Re4 0.4305 0.1820 0.6268 (multiplicity 2)  7 Re 2.51-2.73, 1 Ru 2.72
Ru1 0.2451 0.1685 0.0053 (multiplicity 2)  10 Re 2.67-2.92, 2 Ru 2.72-2.74

# 2
Ac3LaPr2P6 | PBE-GGA | optimized geometry

* ΔE_f: -1.489 eV/atom

abc: 7.5133 13.0125 7.5238
angles: 90.00 109.43 90.00
Last column: nearest neighbours and their distance in Å.
Space group C2/m (No. 12)
Unique sites:
Ac1 0.0000 0.0000 0.0000 (multiplicity 2)  6 P 3.11-3.12
Ac2 0.0000 0.3333 0.0000 (multiplicity 4)  6 P 3.11-3.12
La1 0.0000 0.5000 0.5000 (multiplicity 2)  6 P 3.03
Pr1 0.0000 0.1667 0.5000 (multiplicity 4)  6 P 3.02
P1 0.2450 0.0000 0.7389 (multiplicity 4)  2 Pr 3.02, 1 La 3.03, 3 Ac 3.11-3.12
P2 0.2469 0.3327 0.7388 (multiplicity 8)  2 Pr 3.02, 1 La 3.03, 3 Ac 3.11-3.12

# 3
Pr7NdTm4 | PBE-GGA | optimized geometry

* ΔE_f: 0.008 eV/atom

abc: 6.3655 7.3306 9.0301
angles: 89.98 76.53 89.96
Last column: nearest neighbours and their distance in Å.
Space group P-1 (No. 2)
Unique sites:
Pr1 0.0000 0.0000 0.0000 (multiplicity 1)  4 Tm 3.59-3.62, 6 Pr 3.64-3.66, 2 Nd 3.67
Pr2 0.2233 0.5009 0.3352 (multiplicity 2)  6 Pr 3.58-3.71, 5 Tm 3.61-3.70, 1 Nd 3.63
Pr3 0.2822 0.7516 0.6627 (multiplicity 2)  6 Tm 3.57-3.73, 5 Pr 3.58-3.71, 1 Nd 3.65
Pr4 0.5002 0.2448 0.9969 (multiplicity 2)  7 Pr 3.59-3.74, 3 Tm 3.60-3.64, 2 Nd 3.69-3.70
Nd1 0.0000 0.5000 0.0000 (multiplicity 1)  10 Pr 3.63-3.70, 2 Tm 3.64
Tm1 0.2175 0.0008 0.3367 (multiplicity 2)  4 Tm 3.54-3.68, 8 Pr 3.57-3.67
Tm2 0.2770 0.2434 0.6658 (multiplicity 2)  3 Tm 3.56-3.68, 8 Pr 3.58-3.73, 1 Nd 3.64

# 4
SrCoSn2Te | PBE-GGA | optimized geometry

* formation energy without anion corrections: -397 meV per atom

abc: 4.8502 4.8502 5.9664
angles: 90.00 90.00 90.00
Last column: nearest neighbours and their distance in Å.
Space group P4/mmm (No. 123)
Unique sites:
Sr1 0.0000 0.0000 0.0000 (multiplicity 1)  2 Co 2.98
Co1 0.0000 0.0000 0.5000 (multiplicity 1)  4 Sn 2.43
Sn1 0.0000 0.5000 0.5000 (multiplicity 2)  2 Co 2.43
Te1 0.5000 0.5000 0.0000 (multiplicity 1)  4 Sr 3.43

These records have DOS(E_F) values of 3.606 0.606 16.865 3.523 states/eV/f.u., in the order they appear.
These records have raw total energy values of -116.71 -154.28 -56.01 -21.92 eV per cell, in the order they appear.
These records have spin magnetization values of 0.00 0.00 0.00 0.00 Bohr magnetons per cell, in the order they appear.